Computed, not measured: a geometry-optimized Pr2SmIr structure at the PBE level of DFT.

Summary:
D(E_F) ... 6.09 states/eV/cell
Total energy ... -5.824 eV per atom
E_form ... -0.9 kcal/mol of atoms
Crystal system ... trigonal

Cell lengths 3.888, 3.888, 11.011 Å; angles 79.83, 79.83, 60.00 degrees
Sites, in units of the cell vectors:
Pr 0.887 0.887 0.339
Pr 0.113 0.113 0.661
Ir 0.500 0.500 0.500
Sm 0.000 0.000 0.000